# TiZn

An optimized crystal structure of TiZn (PBE, Alexandria).

N(E_F): 2.30 states/eV/f.u.
ρ: 5.3 g/cm³
energy: -4.26 eV per atom
magnetization: 3.323 Bohr magnetons per cell
energy relative to the elements: 0.327 eV per atom

Cell lengths 5.219, 5.219, 5.219 Å; angles 90.00, 90.00, 90.00 degrees
Space group Fm-3m (No. 225)
Asymmetric unit:
1 Ti 0.000 0.000 0.000 (multiplicity 4)
2 Zn 0.000 0.000 0.500 (multiplicity 4)


# Er2In8Pd

An optimized crystal structure of Er2In8Pd (PBE, Alexandria).

N(E_F): 7.33 states/eV/f.u.
ρ: 8.6 g/cm³
energy: -3.67 eV per atom
magnetization: 0.000 Bohr magnetons per cell
energy relative to the elements: -0.378 eV per atom

Cell lengths 4.677, 4.677, 12.062 Å; angles 90.00, 90.00, 90.00 degrees
Space group P4/mmm (No. 123)
Asymmetric unit:
1 Er 0.000 0.000 0.188 (multiplicity 2)
2 In 0.000 0.500 0.000 (multiplicity 2)
3 In 0.000 0.500 0.372 (multiplicity 4)
4 In 0.500 0.500 0.191 (multiplicity 2)
5 Pd 0.000 0.000 0.500 (multiplicity 1)


# Ba2CuPtBr

An optimized crystal structure of Ba2CuPtBr (PBE, Alexandria).

N(E_F): 1.83 states/eV/f.u.
ΔE_f (raw): -0.778 eV per atom
ρ: 5.7 g/cm³
energy: -3.91 eV per atom
magnetization: 0.000 Bohr magnetons per cell

Cell lengths 6.117, 6.117, 4.800 Å; angles 90.00, 90.00, 90.00 degrees
Space group P4/mmm (No. 123)
Asymmetric unit:
1 Ba 0.000 0.500 0.000 (multiplicity 2)
2 Cu 0.000 0.000 0.500 (multiplicity 1)
3 Pt 0.000 0.000 0.000 (multiplicity 1)
4 Br 0.500 0.500 0.500 (multiplicity 1)


# CaIr2

An optimized crystal structure of CaIr2 (PBE, Alexandria).

N(E_F): 1.69 states/eV/f.u.
ρ: 13.3 g/cm³
energy: -6.63 eV per atom
magnetization: 0.000 Bohr magnetons per cell
energy relative to the elements: -0.056 eV per atom

Cell lengths 11.126, 2.851, 6.856 Å; angles 90.00, 102.11, 90.00 degrees
Space group C2/m (No. 12)
Asymmetric unit:
1 Ca 0.018 0.000 0.287 (multiplicity 4)
2 Ir 0.156 0.500 0.018 (multiplicity 4)
3 Ir 0.220 0.500 0.645 (multiplicity 4)


# La2PrEr2

An optimized crystal structure of La2PrEr2 (PBE, Alexandria).

N(E_F): 7.12 states/eV/f.u.
ρ: 7.3 g/cm³
energy: -4.70 eV per atom
magnetization: 0.000 Bohr magnetons per cell
energy relative to the elements: 0.054 eV per atom

Cell lengths 3.588, 5.766, 16.591 Å; angles 90.00, 90.00, 90.00 degrees
Space group Immm (No. 71)
Asymmetric unit:
1 La 0.000 0.000 0.214 (multiplicity 4)
2 Pr 0.000 0.500 0.500 (multiplicity 2)
3 Er 0.000 0.500 0.098 (multiplicity 4)


# Na2ReW

An optimized crystal structure of Na2ReW (PBE, Alexandria).

N(E_F): 5.78 states/eV/f.u.
ρ: 8.2 g/cm³
energy: -5.09 eV per atom
magnetization: 0.003 Bohr magnetons per cell
excess energy over the best structure of this formula in the dataset: 0.000 eV per atom
energy relative to the elements: 1.925 eV per atom

Cell lengths 8.295, 8.295, 4.868 Å; angles 90.00, 90.00, 90.00 degrees
Space group I-42d (No. 122)
Asymmetric unit:
1 Na 0.240 0.250 0.125 (multiplicity 8)
2 Re 0.000 0.000 0.000 (multiplicity 4)
3 W 0.000 0.000 0.500 (multiplicity 4)


> Which formula does entry 1 have?

TiZn